[1]
Below is a relaxed BaTcCl2 crystal, with properties calculated at the PBE level.

Output
The calculation puts the spin magnetization at 0.877 μB/atom. For the density, the calculation gives 5.1 Mg/m³. The volume is 100 Å³/f.u. The energy relative to the lowest polymorph listed for this composition comes out at 0.222 eV per atom. The value obtained for the density of states at the Fermi level is 1.87 states/eV per cell. The raw formation energy is -0.364 eV/atom.

Cell: 3.9250 5.0423 5.0423 Å, 90.00 90.00 90.00°
Last column: magnetic moment on the atom in μB.
Sites, in units of the cell vectors:
Cl (0.0000, 0.0000, 0.0000)  0.04
Cl (0.0000, 0.5000, 0.5000)  0.04
Ba (0.5000, 0.0000, 0.5000)  -0.04
Tc (0.5000, 0.5000, 0.0000)  2.97

***

[2]
Below is a relaxed TcP2Pt crystal, with properties calculated at the PBE level.

Output
The calculation puts the spin magnetization at 0.292 μB/atom. For the density, the calculation gives 10.5 Mg/m³. The volume is 56 Å³/f.u. The energy relative to the lowest polymorph listed for this composition comes out at 0.472 eV per atom. The value obtained for the density of states at the Fermi level is 4.65 states/eV per cell.

Cell: 4.2972 4.2972 4.2972 Å, 60.00 60.00 60.00°
Last column: magnetic moment on the atom in μB.
Sites, in units of the cell vectors:
P (0.2500, 0.2500, 0.2500)  0.03
P (0.7500, 0.7500, 0.7500)  0.03
Tc (0.0000, 0.0000, 0.0000)  0.78
Pt (0.5000, 0.5000, 0.5000)  0.22

***

[3]
Below is a relaxed La3Tb3Er crystal, with properties calculated at the PBE level.

Output
The calculation puts the spin magnetization at 0.000 μB/atom. For the density, the calculation gives 7.2 Mg/m³. The volume is 244 Å³/f.u. The energy relative to the lowest polymorph listed for this composition comes out at 0.217 eV per atom. The value obtained for the density of states at the Fermi level is 22.02 states/eV per cell.

Cell: 8.8193 8.8193 8.8193 Å, 60.29 60.29 60.29°
Sites, in units of the cell vectors:
La (0.0627, 0.3005, 0.8075)
La (0.3005, 0.8075, 0.0627)
La (0.8075, 0.0627, 0.3005)
La (0.1925, 0.9373, 0.6995)
La (0.6995, 0.1925, 0.9373)
La (0.9373, 0.6995, 0.1925)
Tb (0.9426, 0.2698, 0.4304)
Tb (0.4304, 0.9426, 0.2698)
Tb (0.2698, 0.4304, 0.9426)
Tb (0.7302, 0.5696, 0.0574)
Tb (0.5696, 0.0574, 0.7302)
Tb (0.0574, 0.7302, 0.5696)
Er (0.6466, 0.6466, 0.6466)
Er (0.3534, 0.3534, 0.3534)

***

[4]
Below is a relaxed SrTmSe2O8 crystal, with properties calculated at the PBE level.

Output
The calculation puts the spin magnetization at 0.000 μB/atom. For the density, the calculation gives 4.3 Mg/m³. The volume is 208 Å³/f.u. The value obtained for the density of states at the Fermi level is 3.26 states/eV per cell. The raw formation energy is -1.652 eV/atom.

Cell: 5.7287 5.7287 7.3042 Å, 90.00 90.00 120.00°
Sites, in units of the cell vectors:
Sr (0.0000, 0.0000, 0.0000)
Tm (0.0000, 0.0000, 0.5000)
Se (0.6667, 0.3333, 0.2289)
Se (0.3333, 0.6667, 0.7711)
O (0.3333, 0.6667, 0.9989)
O (0.3260, 0.1635, 0.2930)
O (0.8365, 0.1625, 0.2930)
O (0.6667, 0.3333, 0.0011)
O (0.1635, 0.8375, 0.7070)
O (0.6740, 0.8365, 0.7070)
O (0.1625, 0.3260, 0.7070)
O (0.8375, 0.6740, 0.2930)